[1]
The following is a DFT calculation (PBE) of a relaxed structure of Ce2DyGa.

a b c (Å): 4.4559 4.4559 5.0497
angles (deg): 90.00 90.00 90.00
Space group P4/mmm (No. 123)
One atom of each set of equivalent atoms:
Ce  0.0000  0.5000  0.0000
Dy  0.0000  0.0000  0.5000
Ga  0.5000  0.5000  0.5000

Summary:
crystal system	tetragonal
energy of formation	-0.24	eV per atom
E above lowest polymorph	0.051	eV/atom



[2]
The following is a DFT calculation (PBE) of a relaxed structure of K3Hg2Pb5.

a b c (Å): 14.2871 14.8715 7.1280
angles (deg): 90.00 90.00 90.00
Space group Ibam (No. 72)
One atom of each set of equivalent atoms:
K  0.0000  0.0000  0.2500
K  0.1218  0.2700  0.0000
Hg  0.1318  0.1536  0.5000
Pb  0.0000  0.5000  0.2500
Pb  0.1297  0.3644  0.5000
Pb  0.2475  0.0000  0.2500

Summary:
crystal system	orthorhombic
energy of formation	-0.12	eV per atom



[3]
The following is a DFT calculation (PBE) of a relaxed structure of Be3InBi.

a b c (Å): 4.6435 4.6435 4.6435
angles (deg): 90.00 90.00 90.00
Space group Pm-3m (No. 221)
One atom of each set of equivalent atoms:
Be  0.0000  0.0000  0.5000
In  0.0000  0.0000  0.0000
Bi  0.5000  0.5000  0.5000

Summary:
crystal system	cubic
energy of formation	1.11	eV per atom
E above lowest polymorph	0.000	eV/atom



[4]
The following is a DFT calculation (PBE) of a relaxed structure of Nd2ThIn.

a b c (Å): 3.6304 3.6304 33.7313
angles (deg): 90.00 90.00 120.00
Space group R3m (No. 160, hexagonal axes)
One atom of each set of equivalent atoms:
Nd  0.0000  0.0000  0.0000
Nd  0.0000  0.0000  0.1753
Th  0.0000  0.0000  0.7546
In  0.0000  0.0000  0.5880

Summary:
crystal system	trigonal
energy of formation	-0.09	eV per atom
E above lowest polymorph	0.132	eV/atom



[5]
The following is a DFT calculation (PBE) of a relaxed structure of CdS.

a b c (Å): 5.4947 5.4947 5.4947
angles (deg): 90.00 90.00 90.00
Space group Fm-3m (No. 225)
One atom of each set of equivalent atoms:
Cd  0.0000  0.0000  0.0000
S  0.0000  0.0000  0.5000

Summary:
formation energy without anion corrections	-506	meV/atom
crystal system	cubic



no.,final energy (eV/atom),magnetic moment (μB/atom)
1,-5.112,0.33
2,-2.361,0.00
3,-2.449,0.00
4,-5.016,0.00
5,-3.027,0.00